## PaGa4W (PBE)

Data for a relaxed PaGa4W crystal.

Geometry as CIF:
```
data_PaGa4W
_chemical_formula_sum 'Pa4 Ga16 W4'
_symmetry_space_group_name_H-M 'F -4 3 m'
_symmetry_Int_Tables_number 216
_symmetry_space_group_name_Hall 'F -4 2 3'
_cell_length_a 7.521
_cell_length_b 7.521
_cell_length_c 7.521
_cell_angle_alpha 90.00
_cell_angle_beta 90.00
_cell_angle_gamma 90.00
loop_
_atom_site_label
_atom_site_type_symbol
_atom_site_fract_x
_atom_site_fract_y
_atom_site_fract_z
Pa1 Pa 0.000 0.000 0.000
Ga1 Ga 0.124 0.124 0.624
W1 W 0.250 0.250 0.250
```

Computed properties:
DOS at the Fermi energy (states/eV/cell): 23.33
Crystal system: cubic
Energy of formation from the pure elements (eV per atom): 0.146